## one
PBE MgNi9Sb2, optimized geometry; D(E_F) = 1.056 states/eV/atom; space-group type = No. 166
1.0
2.4075 1.3900 8.1874
-2.4075 1.3900 8.1874
0.0000 -2.7800 8.1874
Mg Ni Sb
1 9 2
Direct
0.0000 0.0000 0.0000
0.0804 0.5822 0.5822
0.3331 0.3331 0.3331
0.4178 0.4178 0.9196
0.4178 0.9196 0.4178
0.5000 0.5000 0.5000
0.5822 0.0804 0.5822
0.5822 0.5822 0.0804
0.6669 0.6669 0.6669
0.9196 0.4178 0.4178
0.1285 0.1285 0.1285
0.8715 0.8715 0.8715

***

## two
PBE MgNi9Sb2, optimized geometry; D(E_F) = 0.815 states/eV/atom; space-group type = No. 123
1.0
3.7176 0.0000 0.0000
0.0000 3.7176 0.0000
0.0000 0.0000 11.0139
Mg Ni Sb
1 9 2
Direct
0.0000 0.0000 0.0000
0.0000 0.5000 0.1638
0.0000 0.5000 0.5000
0.0000 0.5000 0.8362
0.5000 0.0000 0.1638
0.5000 0.0000 0.5000
0.5000 0.0000 0.8362
0.5000 0.5000 0.0000
0.5000 0.5000 0.3356
0.5000 0.5000 0.6644
0.0000 0.0000 0.3268
0.0000 0.0000 0.6732

***

How do the energies compare? Relative to the most stable structure, in meV per atom: one 124; two 0.

***

## one
PBE MgNiSbTe2, optimized geometry; D(E_F) = 0.842 states/eV/atom; space-group type = No. 123
1.0
5.3342 0.0000 0.0000
0.0000 5.3342 0.0000
0.0000 0.0000 4.7232
Mg Ni Sb Te
1 1 1 2
Direct
0.0000 0.0000 0.0000
0.5000 0.5000 0.5000
0.5000 0.5000 0.0000
0.0000 0.5000 0.5000
0.5000 0.0000 0.5000

***

## two
PBE MgNiSbTe2, optimized geometry; D(E_F) = 1.843 states/eV/atom; space-group type = No. 123
1.0
5.4004 0.0000 0.0000
0.0000 5.4004 0.0000
0.0000 0.0000 5.2799
Mg Ni Sb Te
1 1 1 2
Direct
0.0000 0.0000 0.0000
0.5000 0.5000 0.5000
0.0000 0.0000 0.5000
0.0000 0.5000 0.0000
0.5000 0.0000 0.0000

***

How do the energies compare? Relative to the most stable structure, in meV per atom: one 0; two 724.

***

## one
PBE Mg2Sc2Ni, optimized geometry; D(E_F) = 1.432 states/eV/atom; space-group type = No. 127
1.0
6.5167 0.0000 0.0000
0.0000 6.5167 0.0000
0.0000 0.0000 4.9046
Mg Sc Ni
4 4 2
Direct
0.1485 0.3515 0.0000
0.3515 0.8515 0.0000
0.6485 0.1485 0.0000
0.8515 0.6485 0.0000
0.1749 0.6749 0.5000
0.3251 0.1749 0.5000
0.6749 0.8251 0.5000
0.8251 0.3251 0.5000
0.0000 0.0000 0.0000
0.5000 0.5000 0.0000

***

## two
PBE Mg2Sc2Ni, optimized geometry; D(E_F) = 0.665 states/eV/atom; space-group type = No. 139
1.0
-1.6168 1.6168 9.7163
1.6168 -1.6168 9.7163
1.6168 1.6168 -9.7163
Mg Sc Ni
2 2 1
Direct
0.1956 0.1956 0.0000
0.8044 0.8044 0.0000
0.4225 0.4225 0.0000
0.5775 0.5775 0.0000
0.0000 0.0000 0.0000

***

How do the energies compare? Relative to the most stable structure, in meV per atom: one 359; two 0.

***

## one
PBE MgSc3Ni, optimized geometry; D(E_F) = 1.320 states/eV/atom; space-group type = No. 11
1.0
8.1348 0.0000 0.0000
0.0000 3.4573 0.0000
-3.6515 0.0000 7.7440
Mg Sc Ni
2 6 2
Direct
0.1798 0.2500 0.1108
0.8202 0.7500 0.8892
0.1397 0.7500 0.7796
0.2930 0.7500 0.4640
0.4842 0.2500 0.8301
0.5158 0.7500 0.1699
0.7070 0.2500 0.5360
0.8603 0.2500 0.2204
0.1240 0.2500 0.5592
0.8760 0.7500 0.4408

***

## two
PBE MgSc3Ni, optimized geometry; D(E_F) = 2.808 states/eV/atom; space-group type = No. 221
1.0
5.1079 0.0000 0.0000
0.0000 5.1079 0.0000
0.0000 0.0000 5.1079
Mg Sc Ni
1 3 1
Direct
0.0000 0.0000 0.0000
0.0000 0.0000 0.5000
0.0000 0.5000 0.0000
0.5000 0.0000 0.0000
0.5000 0.5000 0.5000

***

How do the energies compare? Relative to the most stable structure, in meV per atom: one 0; two 1297.